# 1
A crystal of Be5Co relaxed with PBEsol, computed with SCAN.

Summary:
DFT formation energy = -0.11 eV/atom
M_tot = 0.00 μB/cell

The structure in extended XYZ format:
```
6
Lattice="3.958 0.000 0.000 -1.979 3.427 0.000 0.000 0.000 3.579" Properties=species:S:1:pos:R:3 pbc="T T T"
Be -0.674 1.167 0.000
Be 0.000 2.285 1.790
Be 1.348 0.000 0.000
Be 1.305 2.260 0.000
Be 1.979 1.142 1.790
Co 0.000 0.000 1.790
```

---

# 2
A crystal of BeCo5 relaxed with PBEsol, computed with SCAN.

Summary:
DFT formation energy = -0.02 eV/atom
M_tot = 8.15 μB/cell

The structure in extended XYZ format:
```
6
Lattice="4.174 0.000 0.000 -2.087 3.615 0.000 0.000 0.000 3.925" Properties=species:S:1:pos:R:3 pbc="T T T"
Be 0.000 0.000 0.000
Co -0.676 1.171 1.962
Co 1.353 0.000 1.962
Co 0.000 2.410 0.000
Co 2.087 1.205 0.000
Co 1.411 2.443 1.962
```

---

# 3
A crystal of BeCr2Co relaxed with PBEsol, computed with SCAN.

Summary:
DFT formation energy = 0.29 eV/atom
M_tot = 0.01 μB/cell

The structure in extended XYZ format:
```
4
Lattice="1.215 0.701 8.021 -1.215 0.701 8.021 0.000 -1.403 8.021" Properties=species:S:1:pos:R:3 pbc="T T T"
Be 0.000 0.000 0.000
Cr 0.000 0.000 6.020
Cr 0.000 0.000 18.044
Co 0.000 0.000 12.032
```

---

# 4
A crystal of BeCrCo2 relaxed with PBEsol, computed with SCAN.

Summary:
DFT formation energy = 0.13 eV/atom
M_tot = 0.00 μB/cell

The structure in extended XYZ format:
```
4
Lattice="-1.280 1.970 3.764 1.280 -1.970 3.764 1.280 1.970 -3.764" Properties=species:S:1:pos:R:3 pbc="T T T"
Be 0.000 0.000 0.000
Cr 0.000 0.000 3.764
Co 1.280 0.000 1.745
Co 0.000 1.970 2.020
```

---

# 5
A crystal of BeCrCo2 relaxed with PBEsol, computed with SCAN.

Summary:
DFT formation energy = -0.01 eV/atom
M_tot = 0.61 μB/cell

The structure in extended XYZ format:
```
4
Lattice="-1.748 1.748 3.154 1.748 -1.748 3.154 1.748 1.748 -3.154" Properties=species:S:1:pos:R:3 pbc="T T T"
Be 0.000 0.000 0.000
Cr 0.000 0.000 3.154
Co 1.748 0.000 1.577
Co 0.000 1.748 1.577
```

---

# 6
A crystal of BeCr2Co relaxed with PBEsol, computed with SCAN.

Summary:
DFT formation energy = 0.03 eV/atom
M_tot = 1.03 μB/cell

The structure in extended XYZ format:
```
4
Lattice="-1.406 1.957 3.696 1.406 -1.957 3.696 1.406 1.957 -3.696" Properties=species:S:1:pos:R:3 pbc="T T T"
Be 0.000 0.000 0.000
Cr 0.000 0.000 3.700
Cr 0.000 1.957 1.718
Co 1.406 0.000 1.806
```

---

# 7
A crystal of BeCrCo2 relaxed with PBEsol, computed with SCAN.

Summary:
DFT formation energy = -0.08 eV/atom
M_tot = 0.00 μB/cell

The structure in extended XYZ format:
```
4
Lattice="2.520 0.000 0.000 0.000 2.520 0.000 0.000 0.000 5.915" Properties=species:S:1:pos:R:3 pbc="T T T"
Be 0.000 0.000 0.000
Cr 0.000 0.000 2.957
Co 1.260 1.260 1.332
Co 1.260 1.260 4.583
```

---

# 8
A crystal of BeCr4Co relaxed with PBEsol, computed with SCAN.

Summary:
DFT formation energy = 0.44 eV/atom
M_tot = 0.00 μB/cell

The structure in extended XYZ format:
```
6
Lattice="0.000 3.218 3.218 3.218 0.000 3.218 3.218 3.218 0.000" Properties=species:S:1:pos:R:3 pbc="T T T"
Be 0.000 0.000 0.000
Cr 2.404 2.404 2.404
Cr 4.033 4.033 2.404
Cr 4.033 2.404 4.033
Cr 2.404 4.033 4.033
Co 4.827 4.827 4.827
```

---

# 9
A crystal of Be2CrCo relaxed with PBEsol, computed with SCAN.

Summary:
DFT formation energy = 0.12 eV/atom
M_tot = 0.00 μB/cell

The structure in extended XYZ format:
```
4
Lattice="1.204 0.695 7.508 -1.204 0.695 7.508 0.000 -1.390 7.508" Properties=species:S:1:pos:R:3 pbc="T T T"
Be 0.000 0.000 5.522
Be 0.000 0.000 17.001
Cr 0.000 0.000 0.000
Co 0.000 0.000 11.262
```

---

# 10
A crystal of BeCrCo2 relaxed with PBEsol, computed with SCAN.

Summary:
DFT formation energy = 0.02 eV/atom
M_tot = 0.00 μB/cell

The structure in extended XYZ format:
```
4
Lattice="2.491 0.000 0.000 0.000 3.110 0.000 0.000 0.000 4.971" Properties=species:S:1:pos:R:3 pbc="T T T"
Be 0.000 0.000 0.000
Cr 0.000 0.000 2.485
Co 1.245 1.555 1.188
Co 1.245 1.555 3.783
```

---

# 11
A crystal of Be2CrCo relaxed with PBEsol, computed with SCAN.

Summary:
DFT formation energy = 0.00 eV/atom
M_tot = 2.66 μB/cell

The structure in extended XYZ format:
```
4
Lattice="2.385 -3.443 0.000 2.385 3.443 0.000 0.000 0.000 2.307" Properties=species:S:1:pos:R:3 pbc="T T T"
Be 1.192 1.721 0.000
Be 1.192 -1.721 0.000
Cr 0.000 0.000 1.153
Co 2.385 0.000 1.153
```

---

# 12
A crystal of BeCrCo6 relaxed with PBEsol, computed with SCAN.

Summary:
DFT formation energy = 0.07 eV/atom
M_tot = 23.45 μB/cell

The structure in extended XYZ format:
```
32
Lattice="3.388 -4.799 0.000 3.388 4.799 0.000 0.000 0.000 9.593" Properties=species:S:1:pos:R:3 pbc="T T T"
Be 0.000 0.000 2.388
Be 0.000 0.000 7.205
Be 3.388 2.321 0.000
Be 3.388 -2.321 0.000
Cr 3.388 2.361 4.796
Cr 3.388 0.000 2.333
Cr 3.388 0.000 7.260
Cr 3.388 -2.361 4.796
Co 0.000 0.000 0.000
Co 0.000 0.000 4.796
Co 1.666 1.204 1.192
Co 1.666 1.204 8.401
Co 1.680 1.198 3.596
Co 1.680 1.198 5.996
Co 3.388 2.396 2.387
Co 3.388 2.396 7.206
Co 1.666 -1.204 1.192
Co 1.666 -1.204 8.401
Co 1.680 -1.198 3.596
Co 1.680 -1.198 5.996
Co 3.388 0.000 0.000
Co 3.388 0.000 4.796
Co 5.096 1.198 3.596
Co 5.096 1.198 5.996
Co 5.110 1.204 1.192
Co 5.110 1.204 8.401
Co 3.388 -2.396 2.387
Co 3.388 -2.396 7.206
Co 5.096 -1.198 3.596
Co 5.096 -1.198 5.996
Co 5.110 -1.204 1.192
Co 5.110 -1.204 8.401
```